VASP calculation (GGA-PBEsol) on a geometry-optimized SeBr2 structure.

```
6
Lattice="-0.718 1.992 2.918 -6.696 2.021 -3.028 -3.309 -6.023 3.296" Properties=species:S:1:pos:R:3 pbc="T T T"
Se 0.000 0.000 0.000
Se -5.362 -1.005 1.593
Br -3.267 -1.307 0.088
Br -6.738 -2.695 0.180
Br -4.256 -3.632 3.658
Br -6.468 1.622 -0.472
```

Properties
- spin magnetization (μB/cell) = 0.0
- raw formation energy (eV per atom) = -0.01
- uncorrected energy (eV for the cell shown) = -15.22
- relative energy among the computed polymorphs (meV per atom) = 0



VASP calculation (GGA-PBEsol) on a geometry-optimized Sr2Tl structure.

```
6
Lattice="-1.275 3.673 -1.193 0.776 -1.564 -5.646 -8.312 -5.054 0.258" Properties=species:S:1:pos:R:3 pbc="T T T"
Sr -3.841 -0.698 -4.974
Sr -7.023 -3.907 -4.522
Sr -4.970 -2.247 -1.607
Sr -1.788 0.962 -2.059
Tl -0.700 -1.634 -4.283
Tl -8.111 -1.311 -2.298
```

Properties
- spin magnetization (μB/cell) = 0.0
- uncorrected energy (eV for the cell shown) = -14.37
- DOS at the Fermi energy (states/eV/f.u.) = 2.29
- energy of formation (eV per atom) = -0.2911



VASP calculation (GGA-PBEsol) on a geometry-optimized HfHg3Ir structure.

```
5
Lattice="5.028 0.000 0.000 0.000 5.028 0.000 0.000 0.000 5.028" Properties=species:S:1:pos:R:3 pbc="T T T"
Ir 0.000 0.000 0.000
Hf 2.514 2.514 2.514
Hg 0.000 2.514 0.000
Hg 0.000 0.000 2.514
Hg 2.514 0.000 0.000
```

Properties
- spin magnetization (μB/cell) = 0.0
- uncorrected energy (eV for the cell shown) = -17.09
- DOS at the Fermi energy (states/eV/f.u.) = 5.31
- energy of formation (eV per atom) = 0.9877



VASP calculation (GGA-PBEsol) on a geometry-optimized GaTe4Mo4Se4 structure.

```
13
Lattice="-6.819 -3.074 -0.245 -1.746 -5.606 4.640 -4.825 1.146 5.605" Properties=species:S:1:pos:R:3 pbc="T T T"
Ga 0.000 0.000 0.000
Te -9.384 -7.002 6.114
Te -11.537 -6.491 8.615
Te -8.494 -5.119 8.724
Te -10.757 -3.989 6.545
Mo -5.363 -3.310 6.053
Mo -6.128 -4.930 3.808
Mo -7.310 -2.338 4.178
Mo -7.980 -4.490 5.959
Se -8.532 -4.397 3.548
Se -7.477 -2.164 6.642
Se -5.848 -5.736 6.132
Se -4.924 -2.771 3.677
```

Properties
- spin magnetization (μB/cell) = 0.7
- raw formation energy (eV per atom) = -0.47
- uncorrected energy (eV for the cell shown) = -86.06
- DOS at the Fermi energy (states/eV/f.u.) = 16.48



VASP calculation (GGA-PBEsol) on a geometry-optimized BeCoSbI2 structure.

```
5
Lattice="4.808 0.000 0.000 0.000 5.084 0.000 0.000 0.000 5.084" Properties=species:S:1:pos:R:3 pbc="T T T"
I 0.000 0.000 2.542
I 0.000 2.542 0.000
Sb 2.404 0.000 0.000
Co 2.404 2.542 2.542
Be 0.000 0.000 0.000
```

Properties
- spin magnetization (μB/cell) = 2.3
- raw formation energy (eV per atom) = 0.98
- uncorrected energy (eV for the cell shown) = -14.91
- DOS at the Fermi energy (states/eV/f.u.) = 7.24



VASP calculation (GGA-PBEsol) on a geometry-optimized BAs2RuBr structure.

```
5
Lattice="-0.704 4.059 -2.066 -4.012 -1.543 -1.664 -2.489 1.782 4.351" Properties=species:S:1:pos:R:3 pbc="T T T"
Ru 0.000 0.000 0.000
As -2.006 -0.771 -0.832
As -0.352 2.030 -1.033
B -3.603 2.149 0.311
Br -1.245 0.891 2.175
```

Properties
- spin magnetization (μB/cell) = 0.0
- raw formation energy (eV per atom) = 1.26
- uncorrected energy (eV for the cell shown) = -22.96
- relative energy among the computed polymorphs (meV per atom) = 159
- DOS at the Fermi energy (states/eV/f.u.) = 2.88



Look up the uncorrected energy of the second one. -14.37 eV for the cell shown